# 1
A plane-wave DFT calculation with GGA-PBE was carried out for AcPrPtAu after structural relaxation.

Properties
The calculation puts the energy at -5.410 eV per atom. The value obtained for the calculated formation energy is -0.859 eV/atom. As for the space-group type: No. 216. Its energy above the most stable polymorph in this dataset is 0.35 eV per formula unit.

a b c (Å): 5.3347 5.3347 5.3347
angles (deg): 60.00 60.00 60.00
Closest atoms and distances in Å follow each position.
Atoms (fractional coordinates):
Au1 0.2500 0.2500 0.2500  4 Ac 3.27, 4 Pr 3.27
Pr1 0.0000 0.0000 0.0000  4 Pt 3.27, 4 Au 3.27
Pt1 0.7500 0.7500 0.7500  4 Pr 3.27, 4 Ac 3.27
Ac1 0.5000 0.5000 0.5000  4 Au 3.27, 4 Pt 3.27

# 2
A plane-wave DFT calculation with GGA-PBE was carried out for AcPrPtAu after structural relaxation.

Properties
The calculation puts the energy at -5.497 eV per atom. The value obtained for the calculated formation energy is -0.946 eV/atom. As for the space-group type: No. 38. Its energy above the most stable polymorph in this dataset is 0.00 eV per formula unit.

a b c (Å): 4.0647 4.8230 6.0064
angles (deg): 90.00 109.78 90.00
Closest atoms and distances in Å follow each position.
Atoms (fractional coordinates):
Au1 0.5853 0.5000 0.1707  2 Pt 3.11, 3 Pr 3.16-3.21, 4 Ac 3.21
Pr1 0.8651 0.5000 0.7301  3 Au 3.16-3.21, 4 Pt 3.20
Pt1 0.4112 0.0000 0.8225  3 Ac 3.08-3.27, 2 Au 3.11, 4 Pr 3.20
Ac1 0.1383 0.0000 0.2767  3 Pt 3.08-3.27, 4 Au 3.21

# 3
A plane-wave DFT calculation with GGA-PBE was carried out for Ac2Pr2RhAu2 after structural relaxation.

Properties
The calculation puts the energy at -5.148 eV per atom. The value obtained for the calculated formation energy is -0.622 eV/atom. As for the space-group type: No. 12.

a b c (Å): 4.1766 7.4929 7.9082
angles (deg): 68.49 74.65 89.99
Closest atoms and distances in Å follow each position.
Atoms (fractional coordinates):
Ac1 0.2088 0.2262 0.5831  1 Rh 2.98, 3 Au 3.25-3.29
Ac2 0.7912 0.7738 0.4169  1 Rh 2.98, 3 Au 3.25-3.29
Rh1 0.0000 0.0000 0.0000  4 Pr 2.87, 2 Ac 2.98
Au1 0.8810 0.4372 0.2389  4 Pr 3.21-3.30, 3 Ac 3.25-3.29, 1 Au 3.40
Au2 0.1190 0.5628 0.7611  4 Pr 3.21-3.30, 3 Ac 3.25-3.29, 1 Au 3.40
Pr1 0.4771 0.2413 0.0456  2 Rh 2.87, 1 Au 3.21
Pr2 0.5229 0.7587 0.9544  2 Rh 2.87, 1 Au 3.21

# 4
A plane-wave DFT calculation with GGA-PBE was carried out for AcPrRuAu after structural relaxation.

Properties
The calculation puts the energy at -5.715 eV per atom. The value obtained for the calculated formation energy is -0.355 eV/atom. As for the space-group type: No. 216.

a b c (Å): 5.2578 5.2578 5.2578
angles (deg): 60.00 60.00 60.00
Closest atoms and distances in Å follow each position.
Atoms (fractional coordinates):
Ac1 0.5000 0.5000 0.5000  4 Au 3.22, 4 Ru 3.22
Pr1 0.0000 0.0000 0.0000  4 Ru 3.22, 4 Au 3.22
Ru1 0.7500 0.7500 0.7500  4 Ac 3.22, 4 Pr 3.22
Au1 0.2500 0.2500 0.2500  4 Pr 3.22, 4 Ac 3.22

# 5
A plane-wave DFT calculation with GGA-PBE was carried out for AcPrAuSe after structural relaxation.

Properties
As for the uncorrected formation energy: -1.258 eV per atom. The calculation puts the energy at -5.170 eV per atom. As for the space-group type: No. 160.

a b c (Å): 4.3345 4.3345 8.0008
angles (deg): 74.28 74.28 60.00
Closest atoms and distances in Å follow each position.
Atoms (fractional coordinates):
Se1 0.7547 0.7547 0.7358  3 Pr 3.07, 3 Ac 3.21
Ac1 0.0001 0.0001 0.9996  3 Au 3.20, 3 Se 3.21
Au1 0.2456 0.2456 0.2631  3 Pr 3.09, 3 Ac 3.20
Pr1 0.4995 0.4995 0.5014  3 Se 3.07, 3 Au 3.09

# 6
A plane-wave DFT calculation with GGA-PBE was carried out for Ac2PrSi3Au12 after structural relaxation.

Properties
As for the uncorrected formation energy: -0.238 eV per atom. The calculation puts the energy at -4.049 eV per atom. As for the space-group type: No. 166.

a b c (Å): 8.3595 8.3595 8.3595
angles (deg): 64.16 64.16 64.16
Closest atoms and distances in Å follow each position.
Atoms (fractional coordinates):
Au1 0.5854 0.1441 0.1441  1 Si 2.49
Au2 0.1441 0.1441 0.5854  1 Si 2.49
Au3 0.1441 0.5854 0.1441  1 Si 2.49
Au4 0.3135 0.8595 0.3135  2 Si 2.46
Au5 0.6865 0.1405 0.6865  2 Si 2.46
Au6 0.4146 0.8559 0.8559  1 Si 2.49
Au7 0.8559 0.4146 0.8559  1 Si 2.49
Au8 0.1405 0.6865 0.6865  2 Si 2.46
Au9 0.8595 0.3135 0.3135  2 Si 2.46
Au10 0.3135 0.3135 0.8595  2 Si 2.46
Au11 0.6865 0.6865 0.1405  2 Si 2.46
Au12 0.8559 0.8559 0.4146  1 Si 2.49
Si1 0.0000 0.5000 0.0000  6 Au 2.46-2.49
Si2 0.5000 0.0000 0.0000  6 Au 2.46-2.49
Si3 0.0000 0.0000 0.5000  6 Au 2.46-2.49
Ac1 0.5993 0.5993 0.5993  9 Au 3.13-3.47
Ac2 0.4007 0.4007 0.4007  9 Au 3.13-3.47
Pr1 0.0000 0.0000 0.0000  6 Au 2.98

# 7
A plane-wave DFT calculation with GGA-PBE was carried out for AcPrSiAu after structural relaxation.

Properties
As for the uncorrected formation energy: -0.564 eV per atom. The calculation puts the energy at -4.961 eV per atom. As for the space-group type: No. 216.

a b c (Å): 5.3884 5.3884 5.3884
angles (deg): 60.00 60.00 60.00
Closest atoms and distances in Å follow each position.
Atoms (fractional coordinates):
Si1 0.2500 0.2500 0.2500  4 Pr 3.30, 4 Ac 3.30
Ac1 0.0000 0.0000 0.0000  4 Au 3.30, 4 Si 3.30
Au1 0.7500 0.7500 0.7500  4 Ac 3.30, 4 Pr 3.30
Pr1 0.5000 0.5000 0.5000  4 Si 3.30, 4 Au 3.30

# 8
A plane-wave DFT calculation with GGA-PBE was carried out for Ac2PrTe5Au after structural relaxation.

Properties
As for the uncorrected formation energy: -1.317 eV per atom. The calculation puts the energy at -4.870 eV per atom. As for the space-group type: No. 36.

a b c (Å): 4.5466 10.1433 13.5987
angles (deg): 90.00 90.00 102.95
Closest atoms and distances in Å follow each position.
Atoms (fractional coordinates):
Te1 0.4997 0.9994 0.2763  1 Au 2.83
Te2 0.0395 0.0791 0.0656  2 Au 2.79, 1 Pr 3.06
Te3 0.2903 0.5806 0.6738  2 Pr 3.21, 3 Ac 3.42-3.50
Te4 0.3554 0.7108 0.0017  1 Pr 3.28, 4 Ac 3.45-3.47
Te5 0.3070 0.6140 0.3418  1 Au 2.86
Te6 0.5003 0.0006 0.7763  1 Au 2.83
Te7 0.6446 0.2892 0.5017  1 Pr 3.28, 4 Ac 3.45-3.47
Te8 0.7097 0.4194 0.1738  2 Pr 3.21, 3 Ac 3.42-3.50
Te9 0.9605 0.9209 0.5656  2 Au 2.79, 1 Pr 3.06
Te10 0.6930 0.3860 0.8418  1 Au 2.86
Au1 0.5715 0.1429 0.9565  4 Te 2.79-2.86
Au2 0.4285 0.8571 0.4565  4 Te 2.79-2.86
Ac1 0.1135 0.2270 0.6871  8 Te 3.41-3.50
Ac2 0.8778 0.7557 0.8117  8 Te 3.36-3.72
Ac3 0.1222 0.2443 0.3117  8 Te 3.36-3.72
Ac4 0.8865 0.7730 0.1871  8 Te 3.41-3.50
Pr1 0.8104 0.6207 0.5094  6 Te 3.06-3.28, 2 Au 3.34
Pr2 0.1896 0.3793 0.0094  6 Te 3.06-3.28, 2 Au 3.34

# 9
A plane-wave DFT calculation with GGA-PBE was carried out for Ac3Pr3Tl2Au after structural relaxation.

Properties
The calculation puts the energy at -4.194 eV per atom. The value obtained for the calculated formation energy is -0.341 eV/atom. As for the space-group type: No. 189.

a b c (Å): 4.0640 9.3577 9.3577
angles (deg): 120.00 90.00 90.00
Closest atoms and distances in Å follow each position.
Atoms (fractional coordinates):
Au1 0.0000 0.0000 0.0000  6 Ac 3.16
Tl1 0.5000 0.3333 0.6667  6 Pr 3.50, 3 Ac 3.52
Tl2 0.5000 0.6667 0.3333  6 Pr 3.50, 3 Ac 3.52
Pr1 0.0000 0.4021 0.0000  4 Tl 3.50, 1 Au 3.76, 6 Ac 3.77-3.88
Pr2 0.0000 0.5979 0.5979  4 Tl 3.50, 1 Au 3.76, 6 Ac 3.77-3.88
Pr3 0.0000 0.0000 0.4021  4 Tl 3.50, 1 Au 3.76, 6 Ac 3.77-3.88
Ac1 0.5000 0.7416 0.0000  2 Au 3.16, 2 Tl 3.52
Ac2 0.5000 0.2584 0.2584  2 Au 3.16, 2 Tl 3.52
Ac3 0.5000 0.0000 0.7416  2 Au 3.16, 2 Tl 3.52

# 10
A plane-wave DFT calculation with GGA-PBE was carried out for AcPrTlAu after structural relaxation.

Properties
The calculation puts the energy at -4.190 eV per atom. The value obtained for the calculated formation energy is -0.557 eV/atom. As for the space-group type: No. 99. Its energy above the most stable polymorph in this dataset is 0.00 eV per formula unit.

a b c (Å): 3.8543 3.8543 8.1834
angles (deg): 90.00 90.00 90.00
Closest atoms and distances in Å follow each position.
Atoms (fractional coordinates):
Au1 0.5000 0.5000 0.5894  4 Pr 3.22, 4 Ac 3.39
Ac1 0.0000 0.0000 0.8363  4 Au 3.39, 4 Tl 3.59, 1 Pr 3.74
Tl1 0.5000 0.5000 0.1227  4 Pr 3.44, 4 Ac 3.59, 1 Au 3.82, 4 Tl 3.85
Pr1 0.0000 0.0000 0.3796  4 Au 3.22, 4 Tl 3.44

# 11
A plane-wave DFT calculation with GGA-PBE was carried out for AcPrTlAu after structural relaxation.

Properties
The calculation puts the energy at -4.140 eV per atom. The value obtained for the calculated formation energy is -0.507 eV/atom. As for the space-group type: No. 216. Its energy above the most stable polymorph in this dataset is 0.20 eV per formula unit.

a b c (Å): 5.5751 5.5751 5.5751
angles (deg): 60.00 60.00 60.00
Closest atoms and distances in Å follow each position.
Atoms (fractional coordinates):
Au1 0.0000 0.0000 0.0000  4 Ac 3.41, 4 Pr 3.41
Ac1 0.7500 0.7500 0.7500  4 Tl 3.41, 4 Au 3.41
Pr1 0.2500 0.2500 0.2500  4 Tl 3.41, 4 Au 3.41
Tl1 0.5000 0.5000 0.5000  4 Ac 3.41, 4 Pr 3.41